Here is an optimized crystal structure of Cr2OsF from Alexandria. Energies are from GGA+U.

abc: 5.486 5.486 5.486
angles: 110.88 110.88 106.69
Fractional coordinates of all 8 atoms:
Cr (0.079, 0.625, 0.954)
Cr (0.375, 0.329, 0.454)
Cr (0.671, 0.125, 0.046)
Cr (0.875, 0.921, 0.546)
Os (0.250, 0.750, 0.500)
Os (0.500, 0.500, 0.000)
F (0.000, 0.000, 0.000)
F (0.750, 0.250, 0.500)

Values from the calculation:
Calculated total energy in eV per cell: -54.49
Symmetry: I-42d (122)
ΔE to the lowest computed polymorph in meV per atom: 0